[1]
Below is a relaxed structure of Cu5Ag4, with properties calculated at the GGA-PBE level.

Output
- calculated formation energy (eV per atom) = 0.108
- final energy (eV per cell) = -28.912

Lattice parameters (Å, degrees): 7.1479 7.1479 7.1479 39.37 39.37 39.37
Last column: nearest neighbours and their distance in Å.
Atoms (fractional coordinates):
Ag  0.4384  0.7771  0.1124  5 Cu 2.69-2.83, 7 Ag 2.76-2.85
Ag  0.8947  0.8947  0.8947  9 Cu 2.64-2.78, 3 Ag 2.85
Ag  0.7771  0.1124  0.4384  5 Cu 2.69-2.83, 7 Ag 2.76-2.85
Ag  0.1124  0.4384  0.7771  5 Cu 2.69-2.83, 7 Ag 2.76-2.85
Cu  0.5605  0.5605  0.5605  6 Cu 2.56-2.78, 6 Ag 2.78-2.83
Cu  0.9962  0.6417  0.3519  6 Cu 2.56-2.70, 4 Ag 2.64-2.78
Cu  0.6417  0.3519  0.9962  6 Cu 2.56-2.70, 4 Ag 2.64-2.78
Cu  0.2271  0.2271  0.2271  6 Cu 2.56-2.78, 6 Ag 2.78-2.82
Cu  0.3519  0.9962  0.6417  6 Cu 2.56-2.70, 4 Ag 2.64-2.78

---

[2]
Below is a relaxed structure of AlSnPd, with properties calculated at the GGA-PBE level.

Output
- final energy (eV per cell) = -56.279

Lattice parameters (Å, degrees): 7.5239 4.1900 7.5129 90.00 90.00 90.00
Last column: nearest neighbours and their distance in Å.
Atoms (fractional coordinates):
Al  0.9730  0.2500  0.7443  3 Pd 2.55-2.57, 1 Sn 2.75
Al  0.4730  0.2500  0.7557  3 Pd 2.55-2.57, 1 Sn 2.75
Al  0.0270  0.7500  0.2557  3 Pd 2.55-2.57, 1 Sn 2.75
Al  0.5270  0.7500  0.2443  3 Pd 2.55-2.57, 1 Sn 2.75
Sn  0.2939  0.2500  0.4369  4 Pd 2.73-2.91, 1 Al 2.75
Sn  0.7939  0.2500  0.0631  4 Pd 2.73-2.91, 1 Al 2.75
Sn  0.7061  0.7500  0.5631  4 Pd 2.73-2.91, 1 Al 2.75
Sn  0.2061  0.7500  0.9369  4 Pd 2.73-2.91, 1 Al 2.75
Pd  0.4078  0.2500  0.0918  3 Al 2.55-2.57, 3 Sn 2.73-2.84
Pd  0.0922  0.7500  0.5918  3 Al 2.55-2.57, 3 Sn 2.73-2.84
Pd  0.5922  0.7500  0.9082  3 Al 2.55-2.57, 3 Sn 2.73-2.84
Pd  0.9078  0.2500  0.4082  3 Al 2.55-2.57, 3 Sn 2.73-2.84

---

[3]
Below is a relaxed structure of NbCdCuPt, with properties calculated at the GGA-PBE level.

Output
- calculated formation energy (eV per atom) = -0.181
- final energy (eV per cell) = -21.485

Lattice parameters (Å, degrees): 4.5227 4.5227 4.5227 60.00 60.00 60.00
Last column: nearest neighbours and their distance in Å.
Atoms (fractional coordinates):
Pt  0.2500  0.2500  0.2500  4 Nb 2.77, 4 Cd 2.77
Cu  0.7500  0.7500  0.7500  4 Cd 2.77, 4 Nb 2.77
Nb  0.0000  0.0000  0.0000  4 Pt 2.77, 4 Cu 2.77
Cd  0.5000  0.5000  0.5000  4 Pt 2.77, 4 Cu 2.77

---

[4]
Below is a relaxed structure of Be2GaFe, with properties calculated at the GGA-PBE level.

Output
- final energy (eV per cell) = -18.506

Lattice parameters (Å, degrees): 3.8804 3.8804 3.8804 60.00 60.00 60.00
Last column: nearest neighbours and their distance in Å.
Atoms (fractional coordinates):
Be  0.7500  0.7500  0.7500  4 Be 2.38, 4 Ga 2.38
Be  0.0000  0.0000  0.0000  4 Fe 2.38, 4 Be 2.38
Fe  0.2500  0.2500  0.2500  4 Ga 2.38, 4 Be 2.38
Ga  0.5000  0.5000  0.5000  4 Fe 2.38, 4 Be 2.38

---

[5]
Below is a relaxed structure of Lu2Fe17C3, with properties calculated at the GGA-PBE level.

Output
- final energy (eV per cell) = -179.942

Lattice parameters (Å, degrees): 6.4528 6.4528 6.4528 97.09 82.91 97.09
Last column: nearest neighbours and their distance in Å.
Atoms (fractional coordinates):
Fe  0.0000  0.7163  0.7163  1 C 1.85
Fe  0.6558  0.3442  0.1470  1 C 1.91
Fe  0.2837  0.0000  0.7163  1 C 1.85
Fe  0.3442  0.1470  0.3442  1 C 1.91
Fe  0.0000  0.5000  0.0000  10 Fe 2.44-2.62
Fe  0.6558  0.8530  0.6558  1 C 1.91
Fe  0.7163  0.7163  0.0000  1 C 1.85
Fe  0.0000  0.2837  0.2837  1 C 1.85
Fe  0.0958  0.9042  0.0958  7 Fe 2.39-2.64
Fe  0.2837  0.2837  0.0000  1 C 1.85
Fe  0.8530  0.6558  0.3442  1 C 1.91
Fe  0.5000  0.0000  0.0000  10 Fe 2.44-2.62
Fe  0.7163  0.0000  0.2837  1 C 1.85
Fe  0.0000  0.0000  0.5000  10 Fe 2.44-2.62
Fe  0.9042  0.0958  0.9042  7 Fe 2.39-2.64
Fe  0.1470  0.3442  0.6558  1 C 1.91
Fe  0.3442  0.6558  0.8530  1 C 1.91
C  0.0000  0.5000  0.5000  4 Fe 1.85-1.91
C  0.5000  0.5000  0.0000  4 Fe 1.85-1.91
C  0.5000  0.0000  0.5000  4 Fe 1.85-1.91
Lu  0.3417  0.6583  0.3417  3 C 2.47
Lu  0.6583  0.3417  0.6583  3 C 2.47

---

[6]
Below is a relaxed structure of HoTm2Al3Ni3, with properties calculated at the GGA-PBE level.

Output
- final energy (eV per cell) = -47.117

Lattice parameters (Å, degrees): 3.9244 6.8575 6.8575 120.02 90.00 90.00
Last column: nearest neighbours and their distance in Å.
Atoms (fractional coordinates):
Al  0.5000  0.7630  0.0006  4 Ni 2.55-2.69, 2 Al 2.82
Al  0.5000  0.2371  0.2371  4 Ni 2.54-2.69, 2 Al 2.82
Al  0.5000  0.0006  0.7630  4 Ni 2.55-2.69, 2 Al 2.82
Ho  0.0000  0.5840  0.5840  5 Ni 2.86-2.87, 6 Al 3.08-3.16
Ni  0.5000  0.3313  0.6676  3 Al 2.66-2.69, 4 Tm 2.84, 2 Ho 2.86
Ni  0.5000  0.6676  0.3313  3 Al 2.66-2.69, 4 Tm 2.84, 2 Ho 2.86
Ni  0.0000  0.0020  0.0020  6 Al 2.54-2.55, 2 Tm 2.84
Tm  0.0000  0.4147  0.9997  5 Ni 2.84, 6 Al 3.09-3.16
Tm  0.0000  0.9997  0.4147  5 Ni 2.84, 6 Al 3.09-3.16

---

[7]
Below is a relaxed structure of HfInCu3Te4, with properties calculated at the GGA-PBE level.

Output
- final energy (eV per cell) = -77.794

Lattice parameters (Å, degrees): 6.1397 8.1306 10.3119 90.00 106.39 90.00
Last column: nearest neighbours and their distance in Å.
Atoms (fractional coordinates):
Te  0.0347  0.2500  0.5315  5 Cu 2.72-2.73, 1 Hf 2.78
Te  0.3991  0.5206  0.2682  3 Cu 2.64-2.69, 1 Hf 2.74
Te  0.6009  0.0206  0.7318  3 Cu 2.64-2.69, 1 Hf 2.74
Te  0.9653  0.7500  0.4685  5 Cu 2.72-2.73, 1 Hf 2.78
Te  0.7657  0.2500  0.0779  1 Cu 2.68, 1 Hf 2.69
Te  0.2343  0.7500  0.9221  1 Cu 2.68, 1 Hf 2.69
Te  0.6009  0.4794  0.7318  3 Cu 2.64-2.69, 1 Hf 2.74
Te  0.3991  0.9794  0.2682  3 Cu 2.64-2.69, 1 Hf 2.74
Cu  0.2888  0.9868  0.4975  2 Cu 2.59-2.70, 4 Te 2.64-2.73
Cu  0.7112  0.0132  0.5025  2 Cu 2.59-2.70, 4 Te 2.64-2.73
Cu  0.7112  0.4868  0.5025  2 Cu 2.59-2.70, 4 Te 2.64-2.73
Cu  0.3373  0.7500  0.6867  4 Te 2.68-2.72, 2 Cu 2.70
Cu  0.6627  0.2500  0.3133  4 Te 2.68-2.72, 2 Cu 2.70
Cu  0.2888  0.5132  0.4975  2 Cu 2.59-2.70, 4 Te 2.64-2.73
In  0.8142  0.7500  0.0938  3 Te 3.50-3.71
In  0.1858  0.2500  0.9062  3 Te 3.50-3.71
Hf  0.8550  0.7500  0.7124  4 Te 2.69-2.78, 2 Cu 2.99
Hf  0.1450  0.2500  0.2876  4 Te 2.69-2.78, 2 Cu 2.99

---

[8]
Below is a relaxed structure of CsHfAgTeSe2, with properties calculated at the GGA-PBE level.

Output
- final energy (eV per cell) = -59.373

Lattice parameters (Å, degrees): 9.1715 4.0979 10.5101 90.00 113.74 90.00
Last column: nearest neighbours and their distance in Å.
Atoms (fractional coordinates):
Te  0.1074  0.2500  0.8804  1 Ag 2.76, 2 Hf 2.94
Te  0.8926  0.7500  0.1196  1 Ag 2.76, 2 Hf 2.94
Hf  0.6832  0.2500  0.1565  4 Se 2.63-2.76, 2 Te 2.94
Hf  0.3168  0.7500  0.8435  4 Se 2.63-2.76, 2 Te 2.94
Cs  0.2731  0.2500  0.2940  5 Se 3.64-4.01, 3 Te 3.82-3.99
Cs  0.7269  0.7500  0.7060  5 Se 3.64-4.01, 3 Te 3.82-3.99
Se  0.5231  0.2500  0.8704  3 Hf 2.73-2.76
Se  0.7480  0.2500  0.4237  1 Hf 2.63, 3 Ag 2.72-2.83
Se  0.2520  0.7500  0.5763  1 Hf 2.63, 3 Ag 2.72-2.83
Se  0.4769  0.7500  0.1296  3 Hf 2.73-2.76
Ag  0.9258  0.7500  0.3928  3 Se 2.72-2.83, 1 Te 2.76, 2 Ag 2.94
Ag  0.0742  0.2500  0.6072  3 Se 2.72-2.83, 1 Te 2.76, 2 Ag 2.94

---

[9]
Below is a relaxed structure of LiLuNiSb, with properties calculated at the GGA-PBE level.

Output
- final energy (eV per cell) = -17.003

Lattice parameters (Å, degrees): 4.6965 4.6965 4.6965 60.00 60.00 60.00
Last column: nearest neighbours and their distance in Å.
Atoms (fractional coordinates):
Ni  0.7500  0.7500  0.7500  4 Li 2.88, 4 Sb 2.88
Sb  0.0000  0.0000  0.0000  4 Lu 2.88, 4 Ni 2.88
Li  0.5000  0.5000  0.5000  4 Ni 2.88, 4 Lu 2.88
Lu  0.2500  0.2500  0.2500  4 Sb 2.88, 4 Li 2.88

---

[10]
Below is a relaxed structure of NdBrO, with properties calculated at the GGA-PBE level.

Output
- final energy (eV per cell) = -39.858

Lattice parameters (Å, degrees): 4.0631 4.0631 7.4012 90.00 90.00 90.00
Last column: nearest neighbours and their distance in Å.
Atoms (fractional coordinates):
O  0.0000  0.5000  0.9998  4 Nd 2.35
O  0.5000  0.0000  0.9998  4 Nd 2.35
Br  0.5000  0.5000  0.6355  5 Nd 3.25-3.52, 4 O 3.38, 4 Br 3.50
Br  0.0000  0.0000  0.3646  5 Nd 3.25-3.52, 4 O 3.38, 4 Br 3.50
Nd  0.5000  0.5000  0.1593  4 O 2.35
Nd  0.0000  0.0000  0.8409  4 O 2.35

---

[11]
Below is a relaxed structure of Li2Zn2Ga2CoPt, with properties calculated at the GGA-PBE level.

Output
- final energy (eV per cell) = -28.886

Lattice parameters (Å, degrees): 4.2170 4.2170 6.0107 90.00 90.00 90.00
Last column: nearest neighbours and their distance in Å.
Atoms (fractional coordinates):
Pt  0.5000  0.5000  0.0000  4 Zn 2.65, 4 Ga 2.66
Co  0.0000  0.0000  0.5000  4 Ga 2.52, 4 Zn 2.53
Li  0.0000  0.0000  0.0000  4 Zn 2.65, 4 Ga 2.66
Li  0.5000  0.5000  0.5000  4 Ga 2.52, 4 Zn 2.53
Zn  0.5000  0.0000  0.2664  2 Co 2.53, 4 Li 2.53-2.65, 2 Pt 2.65, 1 Ga 2.79
Zn  0.0000  0.5000  0.7336  4 Li 2.53-2.65, 2 Co 2.53, 2 Pt 2.65, 1 Ga 2.79
Ga  0.5000  0.0000  0.7308  2 Co 2.52, 4 Li 2.52-2.66, 2 Pt 2.66, 1 Zn 2.79
Ga  0.0000  0.5000  0.2692  2 Co 2.52, 4 Li 2.52-2.66, 2 Pt 2.66, 1 Zn 2.79

---

[12]
Below is a relaxed structure of SrNiAs2, with properties calculated at the GGA-PBE level.

Output
- final energy (eV per cell) = -16.348

Lattice parameters (Å, degrees): 4.8726 4.8726 4.8726 60.00 60.00 60.00
Last column: nearest neighbours and their distance in Å.
Atoms (fractional coordinates):
As  0.2500  0.2500  0.2500  4 Sr 2.98, 4 As 2.98
As  0.0000  0.0000  0.0000  4 Ni 2.98, 4 As 2.98
Ni  0.7500  0.7500  0.7500  4 As 2.98, 4 Sr 2.98
Sr  0.5000  0.5000  0.5000  4 As 2.98, 4 Ni 2.98